Record 1
DFT (PBE) results for crystalline La3SmY6 at its relaxed geometry.

Cell: 10.037 10.037 6.980 Å, 44.03 44.03 60.00°
Element x y z (fractional)
Y (0.274, 0.923, 0.200)
Y (0.603, 0.274, 0.200)
Y (0.097, 0.425, 0.702)
Y (0.776, 0.097, 0.702)
Y (0.923, 0.603, 0.200)
Y (0.425, 0.776, 0.702)
Sm (0.850, 0.850, 0.451)
La (0.102, 0.102, 0.693)
La (0.600, 0.600, 0.201)
La (0.350, 0.350, 0.949)

Calculated values
SG: R3 (146)
ρ: 5.38 g/cm³
calculated total energy: -55.67 eV for the cell shown
energy of formation: 2.6 eV/f.u.
polymorph energy (0 for the lowest one): 42 meV/atom
total magnetic moment: 0.001 μB per atom

Record 2
DFT (PBE) results for crystalline La7Sm2Y at its relaxed geometry.

Cell: 5.668 9.340 9.340 Å, 122.43 90.00 90.00°
Element x y z (fractional)
La (0.500, 0.500, 0.500)
La (0.500, 0.299, 0.071)
La (0.000, 0.239, 0.761)
La (0.500, 0.071, 0.299)
La (0.500, 0.929, 0.701)
La (0.000, 0.761, 0.239)
La (0.500, 0.701, 0.929)
Y (0.000, 0.000, 0.000)
Sm (0.500, 0.702, 0.298)
Sm (0.500, 0.298, 0.702)

Calculated values
SG: Cmmm (65)
ρ: 5.42 g/cm³
calculated total energy: -44.71 eV for the cell shown
energy of formation: 5.7 eV/f.u.
polymorph energy (0 for the lowest one): 253 meV/atom
total magnetic moment: 0.005 μB per atom

Record 3
DFT (PBE) results for crystalline La6SmY12 at its relaxed geometry.

Cell: 8.810 8.810 8.810 Å, 79.36 79.36 79.36°
Element x y z (fractional)
Sm (0.000, 0.000, 0.000)
La (0.164, 0.770, 0.770)
La (0.770, 0.164, 0.770)
La (0.836, 0.230, 0.230)
La (0.230, 0.230, 0.836)
La (0.770, 0.770, 0.164)
La (0.230, 0.836, 0.230)
Y (0.485, 0.486, 0.804)
Y (0.196, 0.515, 0.514)
Y (0.861, 0.861, 0.518)
Y (0.514, 0.196, 0.515)
Y (0.515, 0.514, 0.196)
Y (0.482, 0.139, 0.139)
Y (0.139, 0.482, 0.139)
Y (0.861, 0.518, 0.861)
Y (0.139, 0.139, 0.482)
Y (0.804, 0.485, 0.486)
Y (0.486, 0.804, 0.485)
Y (0.518, 0.861, 0.861)

Calculated values
SG: R-3m (166)
ρ: 5.22 g/cm³
calculated total energy: -109.60 eV for the cell shown
energy of formation: 2.3 eV/f.u.
polymorph energy (0 for the lowest one): 0 meV/atom
total magnetic moment: 0.000 μB per atom

Record 4
DFT (PBE) results for crystalline La5Sm12Y2 at its relaxed geometry.

Cell: 9.321 10.247 8.929 Å, 65.22 90.00 117.05°
Element x y z (fractional)
Sm (0.036, 0.706, 0.910)
Sm (0.956, 0.912, 0.187)
Sm (0.592, 0.752, 0.456)
Sm (0.568, 0.135, 0.273)
Sm (0.840, 0.248, 0.544)
Sm (0.670, 0.706, 0.910)
Sm (0.432, 0.865, 0.727)
Sm (0.160, 0.752, 0.456)
Sm (0.408, 0.248, 0.544)
Sm (0.330, 0.294, 0.090)
Sm (0.044, 0.088, 0.813)
Sm (0.964, 0.294, 0.090)
Y (0.674, 0.000, 0.000)
Y (0.326, 0.000, 0.000)
La (0.286, 0.571, 0.228)
La (0.767, 0.533, 0.297)
La (0.714, 0.429, 0.772)
La (0.000, 0.000, 0.500)
La (0.233, 0.467, 0.703)

Calculated values
SG: C2/m (12)
ρ: 6.63 g/cm³
calculated total energy: -90.53 eV for the cell shown
energy of formation: 3.7 eV/f.u.
total magnetic moment: 0.000 μB per atom

Record 5
DFT (PBE) results for crystalline La4SmY4 at its relaxed geometry.

Cell: 9.691 10.979 11.002 Å, 86.97 104.45 145.18°
Element x y z (fractional)
Y (0.307, 0.224, 0.974)
Y (0.471, 0.888, 0.137)
Y (0.416, 0.668, 0.416)
Y (0.584, 0.332, 0.584)
Y (0.139, 0.557, 0.808)
Y (0.529, 0.112, 0.863)
Y (0.861, 0.443, 0.192)
Y (0.693, 0.776, 0.026)
La (0.082, 0.332, 0.084)
La (0.194, 0.780, 0.527)
La (0.972, 0.889, 0.639)
La (0.751, 0.001, 0.751)
La (0.806, 0.220, 0.473)
La (0.918, 0.668, 0.916)
La (0.249, 0.999, 0.249)
La (0.028, 0.111, 0.361)
Sm (0.638, 0.556, 0.303)
Sm (0.362, 0.444, 0.697)

Calculated values
SG: P-1 (2)
ρ: 5.67 g/cm³
calculated total energy: -100.11 eV for the cell shown
energy of formation: 0.2 eV/f.u.
total magnetic moment: 0.000 μB per atom

Record 6
DFT (PBE) results for crystalline La12Sm7Y at its relaxed geometry.

Cell: 8.936 8.936 8.936 Å, 89.50 89.50 89.50°
Element x y z (fractional)
Sm (0.619, 0.934, 0.859)
Sm (0.500, 0.500, 0.500)
Sm (0.066, 0.141, 0.381)
Sm (0.141, 0.381, 0.066)
Sm (0.381, 0.066, 0.141)
Sm (0.934, 0.859, 0.619)
Sm (0.859, 0.619, 0.934)
La (0.607, 0.143, 0.484)
La (0.739, 0.282, 0.145)
La (0.855, 0.261, 0.718)
La (0.145, 0.739, 0.282)
La (0.143, 0.484, 0.607)
La (0.857, 0.516, 0.393)
La (0.484, 0.607, 0.143)
La (0.282, 0.145, 0.739)
La (0.718, 0.855, 0.261)
La (0.261, 0.718, 0.855)
La (0.393, 0.857, 0.516)
La (0.516, 0.393, 0.857)
Y (0.000, 0.000, 0.000)

Calculated values
SG: R-3 (148)
ρ: 6.54 g/cm³
calculated total energy: -94.92 eV for the cell shown
energy of formation: 3.7 eV/f.u.
polymorph energy (0 for the lowest one): 4 meV/atom
total magnetic moment: 0.000 μB per atom

Record 7
DFT (PBE) results for crystalline La3Sm2Y3 at its relaxed geometry.

Cell: 5.119 5.192 10.996 Å, 103.66 103.46 90.00°
Element x y z (fractional)
Y (0.500, 0.000, 0.000)
Y (0.373, 0.373, 0.746)
Y (0.627, 0.627, 0.254)
La (0.000, 0.500, 0.000)
La (0.876, 0.876, 0.752)
La (0.124, 0.124, 0.248)
Sm (0.249, 0.749, 0.498)
Sm (0.751, 0.251, 0.502)

Calculated values
SG: Immm (71)
ρ: 5.93 g/cm³
calculated total energy: -43.40 eV for the cell shown
energy of formation: 0.2 eV/f.u.
total magnetic moment: 0.000 μB per atom

Record 8
DFT (PBE) results for crystalline LaSm6Y4 at its relaxed geometry.

Cell: 7.634 7.634 8.658 Å, 116.16 116.16 90.00°
Element x y z (fractional)
Sm (0.918, 0.453, 0.371)
Sm (0.000, 0.500, 0.000)
Sm (0.547, 0.547, 0.629)
Sm (0.082, 0.082, 0.629)
Sm (0.500, 0.000, 0.000)
Sm (0.453, 0.918, 0.371)
Y (0.916, 0.916, 0.161)
Y (0.755, 0.084, 0.839)
Y (0.084, 0.755, 0.839)
Y (0.245, 0.245, 0.161)
La (0.500, 0.500, 0.000)

Calculated values
SG: I-42m (121)
ρ: 5.88 g/cm³
calculated total energy: -54.78 eV for the cell shown
energy of formation: 4.3 eV/f.u.
polymorph energy (0 for the lowest one): 276 meV/atom
total magnetic moment: 0.000 μB per atom

Record 9
DFT (PBE) results for crystalline La7SmY3 at its relaxed geometry.

Cell: 6.817 8.962 6.660 Å, 81.23 84.29 100.14°
Element x y z (fractional)
Y (0.500, 0.000, 0.000)
Y (0.074, 0.169, 0.822)
Y (0.926, 0.831, 0.178)
La (0.288, 0.855, 0.551)
La (0.267, 0.586, 0.982)
La (0.733, 0.414, 0.018)
La (0.712, 0.145, 0.449)
La (0.774, 0.793, 0.704)
La (0.000, 0.500, 0.500)
La (0.226, 0.207, 0.296)
Sm (0.500, 0.500, 0.500)

Calculated values
SG: P-1 (2)
ρ: 5.88 g/cm³
calculated total energy: -57.29 eV for the cell shown
energy of formation: 1.3 eV/f.u.
polymorph energy (0 for the lowest one): 0 meV/atom
total magnetic moment: 0.000 μB per atom

Record 10
DFT (PBE) results for crystalline LaSmY4 at its relaxed geometry.

Cell: 3.612 6.245 9.553 Å, 83.91 100.98 73.35°
Element x y z (fractional)
La (0.997, 0.001, 0.502)
Y (0.162, 0.504, 0.334)
Y (0.665, 0.002, 0.838)
Y (0.832, 0.499, 0.670)
Y (0.330, 0.001, 0.166)
Sm (0.497, 0.501, 0.002)

Calculated values
SG: P-1 (2)
ρ: 5.36 g/cm³
calculated total energy: -35.37 eV for the cell shown
energy of formation: 0.1 eV/f.u.
polymorph energy (0 for the lowest one): 0 meV/atom
total magnetic moment: 0.000 μB per atom

Record 11
DFT (PBE) results for crystalline LaSm8Y6 at its relaxed geometry.

Cell: 9.142 9.142 8.762 Å, 58.55 58.55 60.00°
Element x y z (fractional)
Sm (0.113, 0.751, 0.420)
Sm (0.751, 0.716, 0.420)
Sm (0.423, 0.423, 0.731)
Sm (0.716, 0.113, 0.420)
Sm (0.887, 0.249, 0.580)
Sm (0.284, 0.887, 0.580)
Sm (0.577, 0.577, 0.269)
Sm (0.249, 0.284, 0.580)
Y (0.465, 0.903, 0.880)
Y (0.903, 0.753, 0.880)
Y (0.753, 0.465, 0.880)
Y (0.247, 0.535, 0.120)
Y (0.097, 0.247, 0.120)
Y (0.535, 0.097, 0.120)
La (0.000, 0.000, 0.000)

Calculated values
SG: R-3 (148)
ρ: 6.15 g/cm³
calculated total energy: -79.65 eV for the cell shown
energy of formation: 1.8 eV/f.u.
total magnetic moment: 0.000 μB per atom

Record 12
DFT (PBE) results for crystalline LaSm3Y4 at its relaxed geometry.

Cell: 3.447 6.819 15.537 Å, 131.18 96.37 90.00°
Element x y z (fractional)
La (0.500, 0.000, 0.000)
Y (0.626, 0.122, 0.252)
Y (0.374, 0.878, 0.748)
Y (0.626, 0.634, 0.252)
Y (0.374, 0.366, 0.748)
Sm (0.760, 0.779, 0.520)
Sm (0.000, 0.500, 0.000)
Sm (0.240, 0.221, 0.480)

Calculated values
SG: Immm (71)
ρ: 5.78 g/cm³
calculated total energy: -43.53 eV for the cell shown
energy of formation: 1.4 eV/f.u.
polymorph energy (0 for the lowest one): 154 meV/atom
total magnetic moment: 0.000 μB per atom

Record 13
DFT (PBE) results for crystalline La3Sm2Y2 at its relaxed geometry.

Cell: 3.666 12.085 6.351 Å, 69.90 73.23 98.76°
Element x y z (fractional)
Y (0.712, 0.284, 0.861)
Y (0.288, 0.716, 0.139)
La (0.427, 0.572, 0.716)
La (0.000, 0.000, 0.000)
La (0.573, 0.428, 0.284)
Sm (0.855, 0.141, 0.429)
Sm (0.145, 0.859, 0.571)

Calculated values
SG: P-1 (2)
ρ: 6.12 g/cm³
calculated total energy: -37.00 eV for the cell shown
energy of formation: 0.1 eV/f.u.
polymorph energy (0 for the lowest one): 0 meV/atom
total magnetic moment: 0.000 μB per atom

Record 14
DFT (PBE) results for crystalline La5Sm3Y at its relaxed geometry.

Cell: 9.092 9.092 10.103 Å, 116.74 116.74 90.00°
Element x y z (fractional)
La (0.500, 0.500, 0.000)
La (0.430, 0.349, 0.280)
La (0.349, 0.849, 0.280)
La (0.070, 0.570, 0.720)
La (0.000, 0.000, 0.000)
La (0.930, 0.430, 0.280)
La (0.849, 0.930, 0.280)
La (0.570, 0.651, 0.720)
La (0.651, 0.151, 0.720)
La (0.151, 0.070, 0.720)
Sm (0.614, 0.114, 0.000)
Sm (0.386, 0.886, 0.000)
Sm (0.886, 0.614, 0.000)
Sm (0.114, 0.386, 0.000)
Sm (0.750, 0.750, 0.500)
Sm (0.250, 0.250, 0.500)
Y (0.250, 0.750, 0.500)
Y (0.750, 0.250, 0.500)

Calculated values
SG: I4/mcm (140)
ρ: 6.36 g/cm³
calculated total energy: -85.55 eV for the cell shown
energy of formation: 2.5 eV/f.u.
polymorph energy (0 for the lowest one): 221 meV/atom
total magnetic moment: 0.000 μB per atom

Record 15
DFT (PBE) results for crystalline La5SmY3 at its relaxed geometry.

Cell: 9.401 9.401 9.890 Å, 118.38 118.38 90.00°
Element x y z (fractional)
La (0.437, 0.336, 0.273)
La (0.164, 0.063, 0.727)
La (0.664, 0.164, 0.727)
La (0.836, 0.937, 0.273)
La (0.063, 0.563, 0.727)
La (0.500, 0.500, 0.000)
La (0.000, 0.000, 0.000)
La (0.937, 0.437, 0.273)
La (0.336, 0.836, 0.273)
La (0.563, 0.664, 0.727)
Y (0.611, 0.111, 0.000)
Y (0.389, 0.889, 0.000)
Y (0.111, 0.389, 0.000)
Y (0.750, 0.750, 0.500)
Y (0.889, 0.611, 0.000)
Y (0.250, 0.250, 0.500)
Sm (0.250, 0.750, 0.500)
Sm (0.750, 0.250, 0.500)

Calculated values
SG: I4/mcm (140)
ρ: 5.70 g/cm³
calculated total energy: -92.22 eV for the cell shown
energy of formation: 2.6 eV/f.u.
polymorph energy (0 for the lowest one): 55 meV/atom
total magnetic moment: 0.000 μB per atom

Record 16
DFT (PBE) results for crystalline LaSmY6 at its relaxed geometry.

Cell: 9.719 9.720 6.524 Å, 41.86 41.86 60.00°
Element x y z (fractional)
La (0.000, 0.000, 0.000)
Y (0.456, 0.748, 0.755)
Y (0.959, 0.544, 0.245)
Y (0.041, 0.456, 0.755)
Y (0.252, 0.959, 0.245)
Y (0.748, 0.041, 0.755)
Y (0.544, 0.252, 0.245)
Sm (0.500, 0.500, 0.500)

Calculated values
SG: R-3 (148)
ρ: 5.02 g/cm³
calculated total energy: -47.28 eV for the cell shown
energy of formation: 1.1 eV/f.u.
polymorph energy (0 for the lowest one): 0 meV/atom
total magnetic moment: 0.000 μB per atom

Record 17
DFT (PBE) results for crystalline LaSm3Y3 at its relaxed geometry.

Cell: 7.232 6.612 6.612 Å, 107.50 111.38 111.38°
Element x y z (fractional)
Y (0.601, 0.630, 0.630)
Y (0.971, 0.000, 0.370)
Y (0.971, 0.370, 0.000)
La (0.494, 0.000, 0.000)
Sm (0.457, 0.000, 0.434)
Sm (0.023, 0.566, 0.566)
Sm (0.457, 0.434, 0.000)

Calculated values
SG: R3m (160)
ρ: 5.99 g/cm³
calculated total energy: -36.71 eV for the cell shown
energy of formation: 1.8 eV/f.u.
polymorph energy (0 for the lowest one): 30 meV/atom
total magnetic moment: 0.000 μB per atom

Record 18
DFT (PBE) results for crystalline La4Sm3Y2 at its relaxed geometry.

Cell: 5.211 8.158 8.213 Å, 107.38 108.50 90.00°
Element x y z (fractional)
La (0.776, 0.666, 0.553)
La (0.445, 0.669, 0.891)
La (0.224, 0.334, 0.447)
La (0.555, 0.331, 0.109)
Sm (0.888, 0.331, 0.777)
Sm (0.112, 0.669, 0.223)
Sm (0.000, 0.000, 0.000)
Y (0.668, 0.000, 0.335)
Y (0.332, 0.000, 0.665)

Calculated values
SG: C2/m (12)
ρ: 6.26 g/cm³
calculated total energy: -46.59 eV for the cell shown
energy of formation: 0.2 eV/f.u.
polymorph energy (0 for the lowest one): 0 meV/atom
total magnetic moment: 0.000 μB per atom

Record 19
DFT (PBE) results for crystalline La9Sm2Y at its relaxed geometry.

Cell: 5.226 5.226 15.674 Å, 90.00 90.00 90.00°
Element x y z (fractional)
La (0.500, 0.000, 0.167)
La (0.500, 0.000, 0.500)
La (0.000, 0.500, 0.833)
La (0.000, 0.500, 0.167)
La (0.500, 0.500, 0.000)
La (0.500, 0.500, 0.666)
La (0.500, 0.000, 0.833)
La (0.500, 0.500, 0.334)
La (0.000, 0.500, 0.500)
Sm (0.000, 0.000, 0.333)
Sm (0.000, 0.000, 0.667)
Y (0.000, 0.000, 0.000)

Calculated values
SG: P4/mmm (123)
ρ: 6.36 g/cm³
calculated total energy: -60.17 eV for the cell shown
energy of formation: 0.1 eV/f.u.
total magnetic moment: 0.000 μB per atom

Record 20
DFT (PBE) results for crystalline La4SmY3 at its relaxed geometry.

Cell: 6.433 7.392 11.783 Å, 90.00 90.00 90.00°
Element x y z (fractional)
La (0.476, 0.876, 0.246)
La (0.976, 0.124, 0.746)
La (0.976, 0.124, 0.254)
La (0.648, 0.126, 0.500)
La (0.148, 0.874, 0.000)
La (0.476, 0.876, 0.754)
La (0.659, 0.127, 0.000)
La (0.159, 0.873, 0.500)
Y (0.480, 0.379, 0.250)
Y (0.480, 0.379, 0.750)
Y (0.980, 0.621, 0.250)
Y (0.648, 0.620, 0.000)
Y (0.980, 0.621, 0.750)
Y (0.148, 0.380, 0.500)
Sm (0.149, 0.375, 0.000)
Sm (0.649, 0.625, 0.500)

Calculated values
SG: Pmn2_1 (31)
ρ: 5.77 g/cm³
calculated total energy: -87.19 eV for the cell shown
energy of formation: 0.2 eV/f.u.
polymorph energy (0 for the lowest one): 5 meV/atom
total magnetic moment: 0.000 μB per atom